4
Lattice="4.622 0.000 0.000 2.311 4.003 0.000 2.311 1.334 3.774" Properties=species:S:1:pos:R:3 comment="CrCuSe2 | Alexandria | PBE-GGA | relaxed" magmom_total_mub_per_atom=0.84 polymorph_energy_mev_per_atom=860 e_form_raw_ev_per_fu=2.0 dos_ef_per_ev_cell=2.34 space_group=F-43m energy_ev_per_cell=-18.724 pbc="T T T"
Cr 4.622 2.668 1.887
Se 0.000 0.000 0.000
Se 2.311 1.334 0.943
Cu 6.933 4.003 2.830